No. 1
# BaCu2Ru (PBE, optimized geometry)
# Distance to the lowest polymorph of the same formula   1 meV/atom
# Total moment   0.000 μB/f.u.
# ρ   6.818 g cm⁻³
data_BaCu2Ru
_chemical_formula_sum 'Ba3 Cu6 Ru3'
_space_group_name_H-M_alt 'R -3 m'
_space_group_IT_number 166
_space_group_name_Hall '-R 3 2"'
_cell_length_a 4.3075
_cell_length_b 4.3075
_cell_length_c 16.6160
_cell_angle_alpha 90.00
_cell_angle_beta 90.00
_cell_angle_gamma 120.00
loop_
_atom_site_label
_atom_site_type_symbol
_atom_site_fract_x
_atom_site_fract_y
_atom_site_fract_z
Ba1 Ba 0.0000 0.0000 0.0000
Cu1 Cu 0.0000 0.0000 0.1878
Ru1 Ru 0.0000 0.0000 0.5000

=====

No. 2
# HoMn2Co9 (PBE, optimized geometry)
# Total moment   21.501 μB/f.u.
# ρ   8.585 g cm⁻³
data_HoMn2Co9
_chemical_formula_sum 'Ho3 Mn6 Co27'
_space_group_name_H-M_alt 'R -3 m'
_space_group_IT_number 166
_space_group_name_Hall '-R 3 2"'
_cell_length_a 4.8167
_cell_length_b 4.8167
_cell_length_c 23.2542
_cell_angle_alpha 90.00
_cell_angle_beta 90.00
_cell_angle_gamma 120.00
loop_
_atom_site_label
_atom_site_type_symbol
_atom_site_fract_x
_atom_site_fract_y
_atom_site_fract_z
Ho1 Ho 0.0000 0.0000 0.0000
Mn1 Mn 0.0000 0.0000 0.1446
Co1 Co 0.0000 0.0000 0.3360
Co2 Co 0.0000 0.0000 0.5000
Co3 Co 0.0089 0.5044 0.9134

=====

| no. | E_form (meV per atom) |
| --- | --- |
| 1 | 201 |
| 2 | -24 |